(1)
Material: AsHI2
Method: DFT, PBE-GGA
State: relaxed

The total DFT energy (no corrections) comes out at -0.1569 Ry/atom. Its spin magnetization is 0.00 Bohr magnetons per cell. The space-group type is I-42d.

The structure in POSCAR format:
```
AsHI2
1.0
7.109 0.000 0.000
0.000 7.109 0.000
3.554 3.554 4.049
I H As
4 2 2
direct
0.875 0.835 0.750 I
0.585 0.125 0.250 I
0.375 0.415 0.750 I
0.165 0.625 0.250 I
0.250 0.750 0.500 H
0.500 0.500 0.000 H
0.750 0.250 0.500 As
0.000 0.000 0.000 As
```



(2)
Material: Ce6ZrSn10
Method: DFT, PBE-GGA
State: relaxed

Its formation energy is -0.525 eV/atom. The total DFT energy (no corrections) comes out at -0.4026 Ry/atom. Its spin magnetization is 2.37 Bohr magnetons per cell. The space-group type is P-31m.

The structure in POSCAR format:
```
Ce6ZrSn10
1.0
-2.292 -3.107 -4.921
6.603 -6.450 0.996
-8.124 -0.958 4.389
Sn Ce Zr
10 6 1
direct
0.792 0.752 0.752 Sn
0.792 0.248 0.000 Sn
0.000 0.667 0.333 Sn
0.792 0.000 0.248 Sn
0.500 0.333 0.667 Sn
0.500 0.667 0.333 Sn
0.208 0.000 0.752 Sn
0.208 0.248 0.248 Sn
0.208 0.752 0.000 Sn
0.000 0.333 0.667 Sn
0.739 0.000 0.612 Ce
0.261 0.612 0.612 Ce
0.261 0.000 0.388 Ce
0.261 0.388 0.000 Ce
0.739 0.612 0.000 Ce
0.739 0.388 0.388 Ce
0.500 0.000 0.000 Zr
```



(3)
Material: LaB3Br
Method: DFT, PBE-GGA
State: relaxed

Its formation energy from raw total energies is 1700 meV/atom. The total DFT energy (no corrections) comes out at -0.2666 Ry/atom. Its spin magnetization is 0.00 Bohr magnetons per cell. The space-group type is Pm-3m.

The structure in POSCAR format:
```
LaB3Br
1.0
-4.019 1.620 -0.236
-1.417 -3.757 -1.648
-0.819 -1.449 4.008
B Br La
3 1 1
direct
0.500 0.000 0.000 B
0.000 0.000 0.500 B
0.000 0.500 0.000 B
0.000 0.000 0.000 Br
0.500 0.500 0.500 La
```



(4)
Material: Li6Ag8Pd
Method: DFT, PBE-GGA
State: relaxed

Its formation energy is -0.045 eV/atom. The total DFT energy (no corrections) comes out at -0.1968 Ry/atom. Its spin magnetization is 0.00 Bohr magnetons per cell. The space-group type is R-3.

The structure in POSCAR format:
```
Li6Ag8Pd
1.0
-0.037 -5.881 -4.559
-3.097 -6.397 2.204
-5.754 -2.505 -2.795
Ag Li Pd
8 6 1
direct
0.666 0.666 0.001 Ag
0.885 0.554 0.342 Ag
0.115 0.446 0.658 Ag
0.554 0.219 0.342 Ag
0.446 0.781 0.658 Ag
0.781 0.115 0.658 Ag
0.334 0.334 0.999 Ag
0.219 0.885 0.342 Ag
0.620 0.946 0.163 Li
0.946 0.272 0.163 Li
0.054 0.728 0.837 Li
0.272 0.620 0.163 Li
0.728 0.380 0.837 Li
0.380 0.054 0.837 Li
0.000 0.000 0.000 Pd
```



(5)
Material: ScRe6
Method: DFT, PBE-GGA
State: relaxed

Its formation energy is 1.275 eV/atom. The total DFT energy (no corrections) comes out at -0.7570 Ry/atom. Its spin magnetization is 0.00 Bohr magnetons per cell. The space-group type is Im-3m.

The structure in POSCAR format:
```
ScRe6
1.0
-3.395 -0.314 4.886
5.060 -3.013 0.902
1.266 5.702 -1.176
Re Sc
6 1
direct
0.750 0.250 0.500 Re
0.500 0.750 0.250 Re
0.250 0.750 0.500 Re
0.750 0.500 0.250 Re
0.250 0.500 0.750 Re
0.500 0.250 0.750 Re
0.000 0.000 0.000 Sc
```



(6)
Material: Cs2KCd
Method: DFT, PBE-GGA
State: relaxed

Its formation energy is 0.066 eV/atom. The total DFT energy (no corrections) comes out at -0.0635 Ry/atom. Its spin magnetization is 0.00 Bohr magnetons per cell. The space-group type is I-42d.

The structure in POSCAR format:
```
Cs2KCd
1.0
-11.503 -1.806 -3.818
4.222 -4.581 -10.552
-3.598 -6.905 -5.557
Cs Cd K
4 2 2
direct
0.703 0.125 0.250 Cs
0.875 0.953 0.750 Cs
0.047 0.625 0.250 Cs
0.375 0.297 0.750 Cs
0.750 0.250 0.500 Cd
0.000 0.000 0.000 Cd
0.250 0.750 0.500 K
0.500 0.500 0.000 K
```



(7)
Material: HoTi3Co2
Method: DFT, PBE-GGA
State: relaxed

Its formation energy is -0.210 eV/atom. The total DFT energy (no corrections) comes out at -0.5358 Ry/atom. Its spin magnetization is 0.00 Bohr magnetons per cell. The space-group type is C2/m.

The structure in POSCAR format:
```
HoTi3Co2
1.0
-1.618 -2.782 2.889
-3.475 -1.457 -6.586
6.673 -2.932 0.913
Co Ti Ho
4 6 2
direct
0.520 0.040 0.170 Co
0.811 0.621 0.276 Co
0.480 0.960 0.830 Co
0.189 0.379 0.724 Co
0.693 0.386 0.417 Ti
0.055 0.109 0.385 Ti
0.945 0.891 0.615 Ti
0.595 0.190 0.682 Ti
0.307 0.614 0.583 Ti
0.405 0.810 0.318 Ti
0.148 0.297 0.061 Ho
0.852 0.703 0.939 Ho
```



(8)
Material: Y2Tm3Ni2
Method: DFT, PBE-GGA
State: relaxed

Its formation energy is -0.276 eV/atom. The total DFT energy (no corrections) comes out at -0.4183 Ry/atom. Its spin magnetization is 0.00 Bohr magnetons per cell. The space-group type is C2/m.

The structure in POSCAR format:
```
Y2Tm3Ni2
1.0
3.590 0.000 0.000
-1.795 6.002 -0.487
0.000 -3.382 8.235
Ni Tm Y
2 3 2
direct
0.829 0.658 0.761 Ni
0.171 0.342 0.239 Ni
0.617 0.233 0.434 Tm
0.500 0.000 0.000 Tm
0.383 0.767 0.566 Tm
0.165 0.329 0.809 Y
0.835 0.671 0.191 Y
```



(9)
Material: SrSiO2F
Method: DFT, PBE-GGA
State: relaxed

Its formation energy from raw total energies is -707 meV/atom. The total DFT energy (no corrections) comes out at -0.3296 Ry/atom. Its spin magnetization is 0.03 Bohr magnetons per cell. The space-group type is P4/mmm.

The structure in POSCAR format:
```
SrSiO2F
1.0
-2.915 3.199 1.489
-2.938 -1.131 -3.322
-1.912 -3.007 2.715
Si F O Sr
1 1 2 1
direct
0.500 0.500 0.500 Si
0.000 0.000 0.500 F
0.500 0.000 0.000 O
0.000 0.500 0.000 O
0.000 0.000 0.000 Sr
```



(10)
Material: PI2OF
Method: DFT, PBE-GGA
State: relaxed

Its formation energy from raw total energies is -214 meV/atom. The total DFT energy (no corrections) comes out at -0.2412 Ry/atom. Its spin magnetization is 0.00 Bohr magnetons per cell. The space-group type is P4/mmm.

The structure in POSCAR format:
```
PI2OF
1.0
-3.968 1.079 -3.855
2.129 -4.028 -3.318
-2.031 -2.271 1.454
P I F O
1 2 1 1
direct
0.000 0.000 0.000 P
0.500 0.000 0.000 I
0.000 0.500 0.000 I
0.500 0.500 0.500 F
0.000 0.000 0.500 O
```



> Which formula does entry 1 have?

AsHI2



Copy entry 9 word for word.
Material: SrSiO2F
Method: DFT, PBE-GGA
State: relaxed

Its formation energy from raw total energies is -707 meV/atom. The total DFT energy (no corrections) comes out at -0.3296 Ry/atom. Its spin magnetization is 0.03 Bohr magnetons per cell. The space-group type is P4/mmm.

The structure in POSCAR format:
```
SrSiO2F
1.0
-2.915 3.199 1.489
-2.938 -1.131 -3.322
-1.912 -3.007 2.715
Si F O Sr
1 1 2 1
direct
0.500 0.500 0.500 Si
0.000 0.000 0.500 F
0.500 0.000 0.000 O
0.000 0.500 0.000 O
0.000 0.000 0.000 Sr
```